Material: Ba2HfBeS5
Method: DFT, PBE
State: optimized geometry

## Properties
Symmetry ... Cmc2_1
E_form (uncorrected) ... -1449 kJ/mol of formula units

```
Ba2HfBeS5
1.0
1.9602 -8.8787 0.0000
1.9602 8.8787 0.0000
0.0000 0.0000 12.8703
Ba Hf Be S
4 2 2 10
direct
0.1193 0.8807 0.5000
0.1215 0.8785 0.1367
0.8785 0.1215 0.6367
0.8807 0.1193 0.0000
0.1977 0.8023 0.8317
0.8023 0.1977 0.3317
0.4318 0.5682 0.2357
0.5682 0.4318 0.7357
0.0550 0.9450 0.8225
0.3002 0.6998 0.4630
0.3109 0.6891 0.1949
0.3377 0.6623 0.8190
0.4924 0.5076 0.1001
0.5076 0.4924 0.6001
0.6623 0.3377 0.3190
0.6891 0.3109 0.6949
0.6998 0.3002 0.9630
0.9450 0.0550 0.3225
```